(1)
{"formula": "CsCe2Se2S", "functional": "PBE", "state": "relaxed", "lattice_angstrom": [[-3.306, -1.932, 3.653], [3.822, -3.209, 1.762], [2.364, 5.624, 5.115]], "species": ["Cs", "Ce", "Ce", "Se", "Se", "S"], "frac_coords": [[0.000, 0.000, 0.500], [0.500, 0.000, 0.000], [0.000, 0.500, 0.000], [0.500, 0.500, 0.778], [0.500, 0.500, 0.222], [0.000, 0.000, 0.000]], "raw_formation_energy_ev_per_atom": -1.500, "dos_ef_per_ev_cell": 14.36, "sg": "P4/mmm, No. 123", "energy_ev_per_cell": -32.8}

(2)
{"formula": "Cs2CeSmS4", "functional": "PBE", "state": "relaxed", "lattice_angstrom": [[4.238, 0.000, 0.000], [0.000, 7.335, 0.123], [0.000, -2.578, 8.029]], "species": ["Cs", "Cs", "Ce", "Sm", "S", "S", "S", "S"], "frac_coords": [[0.500, 0.000, 0.500], [0.000, 0.500, 0.500], [0.500, 0.500, 0.000], [0.000, 0.000, 0.000], [0.500, 0.226, 0.185], [0.500, 0.774, 0.815], [0.000, 0.269, 0.815], [0.000, 0.731, 0.185]], "raw_formation_energy_ev_per_atom": -1.784, "dos_ef_per_ev_cell": 4.65, "sg": "P2/m, No. 10", "energy_ev_per_cell": -43.1}

(3)
{"formula": "Cs4CeSm3S8", "functional": "PBE", "state": "relaxed", "lattice_angstrom": [[-4.132, -2.260, -6.999], [-5.003, -6.260, 4.975], [-0.260, 8.004, 2.653]], "species": ["Cs", "Cs", "Cs", "Cs", "Ce", "Sm", "Sm", "Sm", "S", "S", "S", "S", "S", "S", "S", "S"], "frac_coords": [[0.500, 0.000, 0.000], [0.500, 0.000, 0.500], [0.000, 0.000, 0.000], [0.000, 0.000, 0.500], [0.000, 0.500, 0.000], [0.500, 0.500, 0.000], [0.500, 0.500, 0.500], [0.000, 0.500, 0.500], [0.230, 0.685, 0.955], [0.230, 0.685, 0.459], [0.272, 0.315, 0.543], [0.726, 0.685, 0.955], [0.274, 0.315, 0.045], [0.728, 0.685, 0.457], [0.770, 0.315, 0.541], [0.770, 0.315, 0.045]], "raw_formation_energy_ev_per_atom": -1.802, "dos_ef_per_ev_cell": 4.15, "sg": "R-3m, No. 166", "energy_ev_per_cell": -85.4}

(4)
{"formula": "Cs3CeSm3S8", "functional": "PBE", "state": "relaxed", "lattice_angstrom": [[8.306, 0.000, 0.000], [-4.153, 7.193, -0.029], [0.000, -4.766, 8.218]], "species": ["Cs", "Cs", "Cs", "Ce", "Sm", "Sm", "Sm", "S", "S", "S", "S", "S", "S", "S", "S"], "frac_coords": [[0.000, 0.000, 0.000], [0.000, 0.500, 0.000], [0.500, 0.500, 0.000], [0.000, 0.000, 0.500], [0.500, 0.000, 0.500], [0.500, 0.500, 0.500], [0.000, 0.500, 0.500], [0.272, 0.545, 0.317], [0.728, 0.455, 0.683], [0.778, 0.556, 0.322], [0.222, 0.444, 0.678], [0.778, 0.044, 0.322], [0.222, 0.956, 0.678], [0.266, 0.044, 0.322], [0.734, 0.956, 0.678]], "raw_formation_energy_ev_per_atom": -1.832, "sg": "R-3m, No. 166", "energy_ev_per_cell": -83.1}

(5)
{"formula": "Cs3Ce3SmS8", "functional": "PBE", "state": "relaxed", "lattice_angstrom": [[8.386, 0.000, 0.000], [-4.193, 7.263, -0.028], [0.000, -4.816, 8.175]], "species": ["Cs", "Cs", "Cs", "Ce", "Ce", "Ce", "Sm", "S", "S", "S", "S", "S", "S", "S", "S"], "frac_coords": [[0.000, 0.000, 0.000], [0.000, 0.500, 0.000], [0.500, 0.500, 0.000], [0.500, 0.000, 0.500], [0.500, 0.500, 0.500], [0.000, 0.500, 0.500], [0.000, 0.000, 0.500], [0.273, 0.545, 0.318], [0.727, 0.455, 0.682], [0.774, 0.547, 0.322], [0.226, 0.453, 0.678], [0.774, 0.048, 0.322], [0.226, 0.952, 0.678], [0.274, 0.048, 0.322], [0.726, 0.952, 0.678]], "raw_formation_energy_ev_per_atom": -1.819, "dos_ef_per_ev_cell": 13.03, "sg": "R-3m, No. 166", "energy_ev_per_cell": -85.4}

(6)
{"formula": "Cs3CeSm2S6", "functional": "PBE", "state": "relaxed", "lattice_angstrom": [[7.318, -0.001, 0.000], [-3.658, 6.338, 0.000], [-1.220, -2.113, 8.073]], "species": ["Cs", "Cs", "Cs", "Ce", "Sm", "Sm", "S", "S", "S", "S", "S", "S"], "frac_coords": [[0.167, 0.833, 0.500], [0.833, 0.167, 0.500], [0.500, 0.500, 0.500], [0.000, 0.000, 0.000], [0.333, 0.667, 0.000], [0.667, 0.333, 0.000], [0.938, 0.603, 0.815], [0.726, 0.726, 0.185], [0.062, 0.397, 0.185], [0.603, 0.938, 0.815], [0.274, 0.274, 0.815], [0.397, 0.062, 0.185]], "raw_formation_energy_ev_per_atom": -1.796, "dos_ef_per_ev_cell": 4.25, "sg": "C2/m, No. 12", "energy_ev_per_cell": -64.2}